# Dy2YO3

Crystalline Dy2YO3 at its relaxed geometry (PBE, OQMD).

a = 3.3901 Å, b = 3.3901 Å, c = 8.3224 Å
α = 90.00°, β = 90.00°, γ = 120.00°
Closest atoms and distances in Å follow each position.
Element x y z (fractional)
Dy (0.3333, 0.6667, 0.1666)  6 O 2.40
Dy (0.6667, 0.3333, 0.8334)  6 O 2.40
Y (0.0000, 0.0000, 0.5000)  6 O 2.40
O (0.0000, 0.0000, 0.0000)  6 Dy 2.40
O (0.3333, 0.6667, 0.6675)  3 Dy 2.40, 3 Y 2.40
O (0.6667, 0.3333, 0.3325)  3 Dy 2.40, 3 Y 2.40

Summary:
raw total energy: -7.870 eV/atom
symmetry: P-3m1, No. 164
total moment: 0.001 Bohr magnetons per cell

# Dy2Y2O5

Crystalline Dy2Y2O5 at its relaxed geometry (PBE, OQMD).

a = 3.8817 Å, b = 3.8817 Å, c = 9.5577 Å
α = 90.00°, β = 90.00°, γ = 90.00°
Closest atoms and distances in Å follow each position.
Element x y z (fractional)
Dy (0.0000, 0.0000, 0.0000)  8 O 2.37
Dy (0.0000, 0.0000, 0.5000)  4 O 2.74
Y (0.5000, 0.5000, 0.2414)  4 O 2.16
Y (0.5000, 0.5000, 0.7586)  4 O 2.16
O (0.0000, 0.5000, 0.1430)  2 Y 2.16, 2 Dy 2.37
O (0.0000, 0.5000, 0.8570)  2 Y 2.16, 2 Dy 2.37
O (0.5000, 0.0000, 0.1430)  2 Y 2.16, 2 Dy 2.37
O (0.5000, 0.0000, 0.8570)  2 Y 2.16, 2 Dy 2.37
O (0.5000, 0.5000, 0.5000)  2 Y 2.47, 4 Dy 2.74

Summary:
relative energy among the computed polymorphs: 19.8 meV/atom
symmetry: P4/mmm, No. 123
total moment: 1.367 Bohr magnetons per cell

# DyY2O4

Crystalline DyY2O4 at its relaxed geometry (PBE, OQMD).

a = 6.7585 Å, b = 6.7585 Å, c = 6.7585 Å
α = 60.00°, β = 60.00°, γ = 60.00°
Closest atoms and distances in Å follow each position.
Element x y z (fractional)
Dy (0.1250, 0.1250, 0.1250)  4 O 2.19
Dy (0.8750, 0.8750, 0.8750)  4 O 2.19
Y (0.0000, 0.5000, 0.5000)  6 O 2.32
Y (0.5000, 0.0000, 0.5000)  6 O 2.32
Y (0.5000, 0.5000, 0.0000)  6 O 2.32
Y (0.5000, 0.5000, 0.5000)  6 O 2.32
O (0.2574, 0.2574, 0.2574)  1 Dy 2.19, 3 Y 2.32
O (0.2574, 0.2574, 0.7277)  1 Dy 2.19, 3 Y 2.32
O (0.2574, 0.7277, 0.2574)  1 Dy 2.19, 3 Y 2.32
O (0.2723, 0.7426, 0.7426)  1 Dy 2.19, 3 Y 2.32
O (0.7277, 0.2574, 0.2574)  1 Dy 2.19, 3 Y 2.32
O (0.7426, 0.2723, 0.7426)  1 Dy 2.19, 3 Y 2.32
O (0.7426, 0.7426, 0.2723)  1 Dy 2.19, 3 Y 2.32
O (0.7426, 0.7426, 0.7426)  1 Dy 2.19, 3 Y 2.32

Summary:
raw total energy: -8.550 eV/atom
symmetry: Fd-3m, No. 227
total moment: 0.636 Bohr magnetons per cell

# Dy2ZnO2

Crystalline Dy2ZnO2 at its relaxed geometry (PBE, OQMD).

a = 6.5885 Å, b = 6.5885 Å, c = 6.5885 Å
α = 114.56°, β = 114.56°, γ = 99.71°
Closest atoms and distances in Å follow each position.
Element x y z (fractional)
Dy (0.0000, 0.0000, 0.0000)  2 O 2.22
Dy (0.0000, 0.0000, 0.5000)  2 O 2.22
Dy (0.0000, 0.5000, 0.0000)  2 O 2.22
Dy (0.5000, 0.0000, 0.5000)  2 O 2.22
Zn (0.3750, 0.6250, 0.7500)  2 O 1.87
Zn (0.6250, 0.3750, 0.2500)  2 O 1.87
O (0.1554, 0.4054, 0.7500)  1 Zn 1.87
O (0.4054, 0.1554, 0.2500)  1 Zn 1.87
O (0.5946, 0.8446, 0.7500)  1 Zn 1.87
O (0.8446, 0.5946, 0.2500)  1 Zn 1.87

Summary:
raw total energy: -5.316 eV/atom
symmetry: I4_1/amd, No. 141
total moment: 0.004 Bohr magnetons per cell

# DyZnO3

Crystalline DyZnO3 at its relaxed geometry (PBE, OQMD).

a = 5.7747 Å, b = 7.4594 Å, c = 5.2369 Å
α = 90.00°, β = 90.00°, γ = 90.00°
Closest atoms and distances in Å follow each position.
Element x y z (fractional)
Dy (0.0864, 0.2500, 0.0239)  6 O 2.25-2.47
Dy (0.4136, 0.7500, 0.5239)  6 O 2.25-2.47
Dy (0.5864, 0.2500, 0.4761)  6 O 2.25-2.47
Dy (0.9136, 0.7500, 0.9761)  6 O 2.25-2.47
Zn (0.0000, 0.0000, 0.5000)  6 O 1.97-2.13
Zn (0.0000, 0.5000, 0.5000)  6 O 1.97-2.13
Zn (0.5000, 0.0000, 0.0000)  6 O 1.97-2.13
Zn (0.5000, 0.5000, 0.0000)  6 O 1.97-2.13
O (0.0363, 0.7500, 0.3833)  2 Zn 1.97
O (0.1826, 0.5555, 0.8076)  2 Zn 1.97-2.13
O (0.1826, 0.9445, 0.8076)  2 Zn 1.97-2.13
O (0.3174, 0.0555, 0.3076)  2 Zn 1.97-2.13
O (0.3174, 0.4445, 0.3076)  2 Zn 1.97-2.13
O (0.4637, 0.2500, 0.8833)  2 Zn 1.97
O (0.5363, 0.7500, 0.1167)  2 Zn 1.97
O (0.6826, 0.5555, 0.6924)  2 Zn 1.97-2.13
O (0.6826, 0.9445, 0.6924)  2 Zn 1.97-2.13
O (0.8174, 0.0555, 0.1924)  2 Zn 1.97-2.13
O (0.8174, 0.4445, 0.1924)  2 Zn 1.97-2.13
O (0.9637, 0.2500, 0.6167)  2 Zn 1.97

Summary:
raw total energy: -6.336 eV/atom
symmetry: Pnma, No. 62
total moment: 0.004 Bohr magnetons per cell

# DyZnO3

Crystalline DyZnO3 at its relaxed geometry (PBE, OQMD).

a = 3.7862 Å, b = 3.7862 Å, c = 4.1113 Å
α = 90.00°, β = 90.00°, γ = 90.00°
Closest atoms and distances in Å follow each position.
Element x y z (fractional)
Dy (0.0000, 0.0000, 0.0000)  4 O 2.33
Zn (0.5000, 0.5000, 0.5950)  5 O 1.92-1.96
O (0.0000, 0.5000, 0.6680)  2 Zn 1.92
O (0.5000, 0.0000, 0.6680)  2 Zn 1.92
O (0.5000, 0.5000, 0.1194)  2 Zn 1.96-2.16

Summary:
raw total energy: -6.118 eV/atom
symmetry: P4mm, No. 99
total moment: 0.001 Bohr magnetons per cell

# DyZn2O4

Crystalline DyZn2O4 at its relaxed geometry (PBE, OQMD).

a = 6.2629 Å, b = 6.2629 Å, c = 6.2629 Å
α = 60.00°, β = 60.00°, γ = 60.00°
Closest atoms and distances in Å follow each position.
Element x y z (fractional)
Dy (0.1250, 0.1250, 0.1250)  4 O 2.13
Dy (0.8750, 0.8750, 0.8750)  4 O 2.13
Zn (0.0000, 0.5000, 0.5000)  6 O 2.10
Zn (0.5000, 0.0000, 0.5000)  6 O 2.10
Zn (0.5000, 0.5000, 0.0000)  6 O 2.10
Zn (0.5000, 0.5000, 0.5000)  6 O 2.10
O (0.2636, 0.2636, 0.2636)  3 Zn 2.10, 1 Dy 2.13
O (0.2636, 0.2636, 0.7092)  3 Zn 2.10, 1 Dy 2.13
O (0.2636, 0.7092, 0.2636)  3 Zn 2.10, 1 Dy 2.13
O (0.2908, 0.7364, 0.7364)  3 Zn 2.10, 1 Dy 2.13
O (0.7092, 0.2636, 0.2636)  3 Zn 2.10, 1 Dy 2.13
O (0.7364, 0.2908, 0.7364)  3 Zn 2.10, 1 Dy 2.13
O (0.7364, 0.7364, 0.2908)  3 Zn 2.10, 1 Dy 2.13
O (0.7364, 0.7364, 0.7364)  3 Zn 2.10, 1 Dy 2.13

Summary:
raw total energy: -5.680 eV/atom
symmetry: Fd-3m, No. 227
total moment: 2.001 Bohr magnetons per cell

# DyZnO3

Crystalline DyZnO3 at its relaxed geometry (PBE, OQMD).

a = 5.2610 Å, b = 5.2610 Å, c = 5.2610 Å
α = 63.43°, β = 63.43°, γ = 63.43°
Closest atoms and distances in Å follow each position.
Element x y z (fractional)
Dy (0.2500, 0.2500, 0.2500)  3 O 2.22
Dy (0.7500, 0.7500, 0.7500)  3 O 2.22
Zn (0.0000, 0.0000, 0.0000)  6 O 1.98
Zn (0.5000, 0.5000, 0.5000)  6 O 1.98
O (0.1517, 0.7500, 0.3483)  2 Zn 1.98, 1 Dy 2.22
O (0.2500, 0.6517, 0.8483)  2 Zn 1.98, 1 Dy 2.22
O (0.3483, 0.1517, 0.7500)  2 Zn 1.98, 1 Dy 2.22
O (0.6517, 0.8483, 0.2500)  2 Zn 1.98, 1 Dy 2.22
O (0.7500, 0.3483, 0.1517)  2 Zn 1.98, 1 Dy 2.22
O (0.8483, 0.2500, 0.6517)  2 Zn 1.98, 1 Dy 2.22

Summary:
raw total energy: -6.263 eV/atom
symmetry: R-3c, No. 167
total moment: 0.009 Bohr magnetons per cell

# DyZnO3

Crystalline DyZnO3 at its relaxed geometry (PBE, OQMD).

a = 5.7369 Å, b = 5.7369 Å, c = 5.7369 Å
α = 56.93°, β = 56.93°, γ = 56.93°
Closest atoms and distances in Å follow each position.
Element x y z (fractional)
Dy (0.1340, 0.1340, 0.1340)  6 O 2.20-2.34
Dy (0.8660, 0.8660, 0.8660)  6 O 2.20-2.34
Zn (0.3508, 0.3508, 0.3508)  6 O 2.05-2.14
Zn (0.6492, 0.6492, 0.6492)  6 O 2.05-2.14
O (0.0550, 0.4708, 0.7172)  2 Zn 2.05-2.14, 1 Dy 2.20
O (0.2828, 0.9450, 0.5292)  2 Zn 2.05-2.14, 1 Dy 2.20
O (0.4708, 0.7172, 0.0550)  2 Zn 2.05-2.14, 1 Dy 2.20
O (0.5292, 0.2828, 0.9450)  2 Zn 2.05-2.14, 1 Dy 2.20
O (0.7172, 0.0550, 0.4708)  2 Zn 2.05-2.14, 1 Dy 2.20
O (0.9450, 0.5292, 0.2828)  2 Zn 2.05-2.14, 1 Dy 2.20

Summary:
raw total energy: -6.209 eV/atom
symmetry: R-3, No. 148
total moment: 1.989 Bohr magnetons per cell

# Dy2Zr2O5

Crystalline Dy2Zr2O5 at its relaxed geometry (PBE, OQMD).

a = 4.1154 Å, b = 4.1154 Å, c = 7.3959 Å
α = 90.00°, β = 90.00°, γ = 90.00°
Closest atoms and distances in Å follow each position.
Element x y z (fractional)
Dy (0.0000, 0.0000, 0.0000)  8 O 2.83
Dy (0.0000, 0.0000, 0.5000)  12 O 2.70-2.91
Zr (0.5000, 0.5000, 0.2170)  5 O 2.09
Zr (0.5000, 0.5000, 0.7830)  5 O 2.09
O (0.0000, 0.5000, 0.2630)  2 Zr 2.09
O (0.0000, 0.5000, 0.7370)  2 Zr 2.09
O (0.5000, 0.0000, 0.2630)  2 Zr 2.09
O (0.5000, 0.0000, 0.7370)  2 Zr 2.09
O (0.5000, 0.5000, 0.5000)  2 Zr 2.09

Summary:
relative energy among the computed polymorphs: 107.0 meV/atom
symmetry: P4/mmm, No. 123
total moment: 0.004 Bohr magnetons per cell

# Dy2Zr2O5

Crystalline Dy2Zr2O5 at its relaxed geometry (PBE, OQMD).

a = 3.6146 Å, b = 3.6146 Å, c = 9.9935 Å
α = 90.00°, β = 90.00°, γ = 90.00°
Closest atoms and distances in Å follow each position.
Element x y z (fractional)
Dy (0.0000, 0.0000, 0.2487)  4 O 2.17
Dy (0.0000, 0.0000, 0.7513)  4 O 2.17
Zr (0.5000, 0.5000, 0.0000)  8 O 2.21
Zr (0.5000, 0.5000, 0.5000)  4 O 2.56
O (0.0000, 0.0000, 0.5000)  2 Dy 2.51, 4 Zr 2.56
O (0.0000, 0.5000, 0.1278)  2 Dy 2.17, 2 Zr 2.21
O (0.0000, 0.5000, 0.8722)  2 Dy 2.17, 2 Zr 2.21
O (0.5000, 0.0000, 0.1278)  2 Dy 2.17, 2 Zr 2.21
O (0.5000, 0.0000, 0.8722)  2 Dy 2.17, 2 Zr 2.21

Summary:
relative energy among the computed polymorphs: 0.0 meV/atom
symmetry: P4/mmm, No. 123
total moment: 0.013 Bohr magnetons per cell

# Dy3ZrO6

Crystalline Dy3ZrO6 at its relaxed geometry (PBE, OQMD).

a = 7.0680 Å, b = 7.0680 Å, c = 5.5376 Å
α = 90.00°, β = 90.00°, γ = 101.36°
Closest atoms and distances in Å follow each position.
Element x y z (fractional)
Dy (0.1019, 0.8981, 0.5000)  7 O 2.27-2.47
Dy (0.1954, 0.4061, 0.5523)  6 O 2.22-2.38
Dy (0.4061, 0.1954, 0.0523)  6 O 2.22-2.38
Dy (0.5939, 0.8046, 0.5523)  6 O 2.22-2.38
Dy (0.8046, 0.5939, 0.0523)  6 O 2.22-2.38
Dy (0.8981, 0.1019, 0.0000)  7 O 2.27-2.47
Zr (0.3363, 0.6637, 0.0673)  4 O 2.03-2.22
Zr (0.6637, 0.3363, 0.5673)  4 O 2.03-2.22
O (0.0854, 0.5992, 0.2624)  1 Zr 2.05, 1 Dy 2.29
O (0.1384, 0.1733, 0.2772)  4 Dy 2.22-2.27
O (0.1733, 0.1384, 0.7772)  4 Dy 2.22-2.27
O (0.2787, 0.7213, 0.7185)  1 Zr 2.03
O (0.4008, 0.9146, 0.2624)  1 Zr 2.05, 1 Dy 2.29
O (0.4866, 0.5134, 0.3377)  2 Zr 2.22-2.32, 2 Dy 2.37
O (0.5134, 0.4866, 0.8377)  2 Zr 2.22-2.32, 2 Dy 2.37
O (0.5992, 0.0854, 0.7624)  1 Zr 2.05, 1 Dy 2.29
O (0.7213, 0.2787, 0.2185)  1 Zr 2.03
O (0.8267, 0.8616, 0.2772)  4 Dy 2.22-2.27
O (0.8616, 0.8267, 0.7772)  4 Dy 2.22-2.27
O (0.9146, 0.4008, 0.7624)  1 Zr 2.05, 1 Dy 2.29

Summary:
raw total energy: -8.531 eV/atom
symmetry: Cmc2_1, No. 36
total moment: 0.009 Bohr magnetons per cell